Density functional theory data (PBE) for La7TmCd4 after structural relaxation.

Calculated values
- E_tot (eV per atom) = -3.60
- energy of formation (eV/atom) = -0.049

POSCAR file:
```
La7TmCd4
1.0
7.651 -2.999 0.000
7.651 2.999 0.000
-5.494 0.000 8.536
La Tm Cd
7 1 4
direct
0.000 0.000 0.000
0.239 0.239 0.698
0.291 0.291 0.104
0.434 0.434 0.596
0.566 0.566 0.404
0.709 0.709 0.896
0.761 0.761 0.302
0.500 0.500 0.000
0.040 0.040 0.712
0.182 0.182 0.347
0.818 0.818 0.653
0.960 0.960 0.288
```

***

Density functional theory data (PBE) for BaPtOF2 after structural relaxation.

Calculated values
- energy relative to the elements, uncorrected (kJ/mol of formula units) = -364
- E_tot (eV per atom) = -4.09

POSCAR file:
```
BaPtOF2
1.0
4.937 0.000 0.000
0.000 4.937 0.000
0.000 0.000 5.131
Ba Pt O F
1 1 1 2
direct
0.000 0.000 0.000
0.500 0.500 0.500
0.000 0.000 0.500
0.000 0.500 0.000
0.500 0.000 0.000
```

***

Density functional theory data (PBE) for RbScN2 after structural relaxation.

Calculated values
- energy relative to the elements, uncorrected (kJ/mol of formula units) = 350
- E_tot (eV per atom) = -5.08

POSCAR file:
```
RbScN2
1.0
4.436 0.000 0.000
-2.218 3.842 0.000
0.000 0.000 20.769
Rb Sc N
3 3 6
direct
0.000 0.000 0.000
0.333 0.667 0.667
0.667 0.333 0.333
0.000 0.000 0.500
0.333 0.667 0.167
0.667 0.333 0.833
0.000 0.000 0.415
0.000 0.000 0.585
0.333 0.667 0.081
0.333 0.667 0.252
0.667 0.333 0.748
0.667 0.333 0.919
```

***

Density functional theory data (PBE) for BRh after structural relaxation.

Calculated values
- E_tot (eV per atom) = -6.88
- energy of formation (eV/atom) = 0.135

POSCAR file:
```
BRh
1.0
5.733 0.000 0.000
0.000 5.733 0.000
0.000 0.000 5.733
B Rh
6 6
direct
0.000 0.250 0.500
0.000 0.750 0.500
0.250 0.500 0.000
0.500 0.000 0.250
0.500 0.000 0.750
0.750 0.500 0.000
0.000 0.500 0.250
0.000 0.500 0.750
0.250 0.000 0.500
0.500 0.250 0.000
0.500 0.750 0.000
0.750 0.000 0.500
```

***

Density functional theory data (PBE) for SmIn3 after structural relaxation.

Calculated values
- E_tot (eV per atom) = -3.60
- energy of formation (eV/atom) = -0.364

POSCAR file:
```
SmIn3
1.0
4.561 0.000 0.000
0.000 4.561 0.000
0.000 0.000 10.116
Sm In
2 6
direct
0.000 0.000 0.000
0.500 0.500 0.500
0.000 0.000 0.500
0.000 0.500 0.250
0.000 0.500 0.750
0.500 0.000 0.250
0.500 0.000 0.750
0.500 0.500 0.000
```

***

Density functional theory data (PBE) for Ca2FeCl after structural relaxation.

Calculated values
- energy relative to the elements, uncorrected (kJ/mol of formula units) = -121
- E_tot (eV per atom) = -3.89

POSCAR file:
```
Ca2FeCl
1.0
11.169 0.000 0.000
0.000 3.432 0.000
-0.009 0.000 4.951
Ca Fe Cl
4 2 2
direct
0.000 0.000 0.000
0.233 0.500 0.500
0.500 0.500 0.000
0.733 0.000 0.500
0.475 0.000 0.500
0.975 0.500 0.500
0.262 0.000 0.001
0.762 0.500 0.001
```

***

Density functional theory data (PBE) for TiSn3Pt12 after structural relaxation.

Calculated values
- E_tot (eV per atom) = -6.30
- energy of formation (eV/atom) = -0.521

POSCAR file:
```
TiSn3Pt12
1.0
4.024 0.000 0.000
0.000 4.024 0.000
0.000 0.000 16.195
Ti Sn Pt
1 3 12
direct
0.000 0.000 0.000
0.000 0.000 0.247
0.000 0.000 0.500
0.000 0.000 0.753
0.000 0.500 0.117
0.000 0.500 0.373
0.000 0.500 0.627
0.000 0.500 0.883
0.500 0.000 0.117
0.500 0.000 0.373
0.500 0.000 0.627
0.500 0.000 0.883
0.500 0.500 0.000
0.500 0.500 0.246
0.500 0.500 0.500
0.500 0.500 0.754
```

***

Density functional theory data (PBE) for Ce7InI12 after structural relaxation.

Calculated values
- energy relative to the elements, uncorrected (kJ/mol of formula units) = -2145
- E_tot (eV per atom) = -4.26

POSCAR file:
```
Ce7InI12
1.0
8.208 4.739 3.591
-8.208 4.739 3.591
0.000 -9.478 3.591
Ce In I
7 1 12
direct
0.000 0.000 0.000
0.158 0.451 0.380
0.380 0.158 0.451
0.451 0.380 0.158
0.549 0.620 0.842
0.620 0.842 0.549
0.842 0.549 0.620
0.500 0.500 0.500
0.023 0.103 0.345
0.103 0.345 0.023
0.193 0.575 0.730
0.270 0.807 0.425
0.345 0.023 0.103
0.425 0.270 0.807
0.575 0.730 0.193
0.655 0.977 0.897
0.730 0.193 0.575
0.807 0.425 0.270
0.897 0.655 0.977
0.977 0.897 0.655
```

***

Density functional theory data (PBE) for RbNaSi2 after structural relaxation.

Calculated values
- energy relative to the elements, uncorrected (kJ/mol of formula units) = 149
- E_tot (eV per atom) = -2.90

POSCAR file:
```
RbNaSi2
1.0
4.867 0.000 0.000
0.000 4.867 0.000
0.000 0.000 21.026
Rb Na Si
4 4 8
direct
0.000 0.000 0.000
0.000 0.500 0.250
0.500 0.000 0.750
0.500 0.500 0.500
0.000 0.000 0.500
0.000 0.500 0.750
0.500 0.000 0.250
0.500 0.500 0.000
0.026 0.250 0.625
0.250 0.526 0.875
0.250 0.974 0.375
0.474 0.250 0.125
0.526 0.750 0.125
0.750 0.026 0.375
0.750 0.474 0.875
0.974 0.750 0.625
```

***

Density functional theory data (PBE) for RbHf2Bi2 after structural relaxation.

Calculated values
- E_tot (eV per atom) = -5.58
- energy of formation (eV/atom) = 0.149

POSCAR file:
```
RbHf2Bi2
1.0
9.309 0.000 0.000
0.000 9.309 0.000
0.000 0.000 3.314
Rb Hf Bi
2 4 4
direct
0.000 0.000 0.000
0.500 0.500 0.000
0.112 0.388 0.000
0.388 0.888 0.000
0.612 0.112 0.000
0.888 0.612 0.000
0.172 0.672 0.500
0.328 0.172 0.500
0.672 0.828 0.500
0.828 0.328 0.500
```

***

Density functional theory data (PBE) for Ti4Nb2Sn after structural relaxation.

Calculated values
- E_tot (eV per atom) = -7.49
- energy of formation (eV/atom) = 0.472

POSCAR file:
```
Ti4Nb2Sn
1.0
4.780 0.000 0.000
-2.390 4.139 0.000
0.000 0.000 7.359
Ti Nb Sn
4 2 1
direct
0.333 0.667 0.255
0.333 0.667 0.914
0.667 0.333 0.086
0.667 0.333 0.745
0.333 0.667 0.577
0.667 0.333 0.423
0.000 0.000 0.000
```

***

Density functional theory data (PBE) for In3W after structural relaxation.

Calculated values
- E_tot (eV per atom) = -4.80
- energy of formation (eV/atom) = 0.488

POSCAR file:
```
In3W
1.0
3.066 0.000 0.000
-1.533 2.655 0.000
0.000 0.000 10.936
In W
3 1
direct
0.000 0.000 0.000
0.333 0.667 0.279
0.333 0.667 0.721
0.000 0.000 0.500
```